# SiP2Au (PBE, relaxed)
# Total energy in eV/cell: -18.97
# ΔE_f (raw) in eV per atom: 0.1367
# N(E_F) in states/eV per atom: 0.41
# Spin magnetization in μB/atom: 0.00
data_SiP2Au
_chemical_formula_sum 'Si1 P2 Au1'
_space_group_name_H-M_alt 'P 4/m m m'
_space_group_IT_number 123
_space_group_name_Hall '-P 4 2'
_cell_length_a 3.6116
_cell_length_b 3.6116
_cell_length_c 5.0512
_cell_angle_alpha 90.00
_cell_angle_beta 90.00
_cell_angle_gamma 90.00
loop_
_atom_site_label
_atom_site_fract_x
_atom_site_fract_y
_atom_site_fract_z
Si1 0.0000 0.0000 0.0000
P1 0.0000 0.0000 0.5000
P2 0.5000 0.5000 0.0000
Au1 0.5000 0.5000 0.5000

=====

# SiP2Au (PBE, relaxed)
# Total energy in eV/cell: -34.14
# ΔE_f (raw) in eV per atom: 0.6120
# N(E_F) in states/eV per atom: 0.48
# Spin magnetization in μB/atom: 0.00
data_SiP2Au
_chemical_formula_sum 'Si2 P4 Au2'
_space_group_name_H-M_alt 'I 4/m m m'
_space_group_IT_number 139
_space_group_name_Hall '-I 4 2'
_cell_length_a 4.8944
_cell_length_b 4.8944
_cell_length_c 5.4269
_cell_angle_alpha 90.00
_cell_angle_beta 90.00
_cell_angle_gamma 90.00
loop_
_atom_site_label
_atom_site_fract_x
_atom_site_fract_y
_atom_site_fract_z
Si1 0.0000 0.0000 0.0000
P1 0.0000 0.5000 0.2500
Au1 0.0000 0.0000 0.5000

=====

# SiP3Au (PBE, relaxed)
# Energy above the most stable polymorph in this dataset in meV/atom: 0
# Total energy in eV/cell: -20.75
# ΔE_f (raw) in eV per atom: 0.8362
# N(E_F) in states/eV per atom: 0.88
# Spin magnetization in μB/atom: 0.00
data_SiP3Au
_chemical_formula_sum 'Si1 P3 Au1'
_space_group_name_H-M_alt 'P m -3 m'
_space_group_IT_number 221
_space_group_name_Hall '-P 4 2 3'
_cell_length_a 4.4878
_cell_length_b 4.4878
_cell_length_c 4.4878
_cell_angle_alpha 90.00
_cell_angle_beta 90.00
_cell_angle_gamma 90.00
loop_
_atom_site_label
_atom_site_fract_x
_atom_site_fract_y
_atom_site_fract_z
Si1 0.0000 0.0000 0.0000
P1 0.0000 0.0000 0.5000
Au1 0.5000 0.5000 0.5000

=====

# SiP2Au (PBE, relaxed)
# Total energy in eV/cell: -34.08
# ΔE_f (raw) in eV per atom: 0.6201
# N(E_F) in states/eV per atom: 0.36
# Spin magnetization in μB/atom: 0.00
data_SiP2Au
_chemical_formula_sum 'Si2 P4 Au2'
_space_group_name_H-M_alt 'I -4 m 2'
_space_group_IT_number 119
_space_group_name_Hall 'I -4 -2'
_cell_length_a 4.3481
_cell_length_b 4.3481
_cell_length_c 6.8131
_cell_angle_alpha 90.00
_cell_angle_beta 90.00
_cell_angle_gamma 90.00
loop_
_atom_site_label
_atom_site_fract_x
_atom_site_fract_y
_atom_site_fract_z
Si1 0.0000 0.0000 0.0000
P1 0.0000 0.0000 0.5000
P2 0.0000 0.5000 0.2500
Au1 0.0000 0.5000 0.7500